PBE TeOsAu3, optimized geometry; V = 27.9 Å³/atom; raw total energy = -3.13 eV per atom; energy above the lowest structure with this stoichiometry = 473 meV per atom; SG = Pm-3m, No. 221; uncorrected formation energy = 1.71 eV per atom
1.0
5.188 0.000 0.000
0.000 5.188 0.000
0.000 0.000 5.188
Au Os Te
3 1 1
direct
0.000 0.000 0.500 Au
0.000 0.500 0.000 Au
0.500 0.000 0.000 Au
0.500 0.500 0.500 Os
0.000 0.000 0.000 Te